No. 1
Computed, not measured: a relaxed structure of LiTl2AgF at the PBE level of DFT.

a = 5.8219 Å, b = 3.3765 Å, c = 5.8219 Å
α = 90.00°, β = 90.00°, γ = 90.00°
Atoms (fractional coordinates):
Tl 0.5000 0.0000 0.0000
Li 0.0000 0.0000 0.0000
Tl 0.0000 0.0000 0.5000
Ag 0.5000 0.5000 0.5000
F 0.0000 0.5000 0.0000

Summary:
formation energy without anion corrections	-3.57	eV/f.u.
total moment	0.00	μB per atom
symmetry	P4/mmm, No. 123

No. 2
Computed, not measured: a relaxed structure of TmMnSi2 at the PBE level of DFT.

a = 3.9418 Å, b = 3.9418 Å, c = 5.3384 Å
α = 68.33°, β = 68.33°, γ = 60.00°
Atoms (fractional coordinates):
Mn 0.0000 0.0000 0.0000
Tm 0.5000 0.5000 0.5000
Si 0.2915 0.2915 0.1255
Si 0.7085 0.7085 0.8745

Summary:
formation energy without anion corrections	-2.13	eV/f.u.
total moment	0.00	μB per atom
symmetry	R-3m, No. 166

No. 3
Computed, not measured: a relaxed structure of PmPaCu2 at the PBE level of DFT.

a = 3.4106 Å, b = 3.4106 Å, c = 8.9957 Å
α = 79.07°, β = 79.07°, γ = 60.00°
Atoms (fractional coordinates):
Pa 0.0000 0.0000 0.0000
Pm 0.5000 0.5000 0.5000
Cu 0.2519 0.2519 0.2443
Cu 0.7481 0.7481 0.7557

Summary:
energy above the most stable polymorph in this dataset	186	meV/atom
total moment	0.00	μB per atom
symmetry	R-3m, No. 166
E_form	0.237	eV/atom

No. 4
Computed, not measured: a relaxed structure of Pm5Pa2Te12 at the PBE level of DFT.

a = 8.2744 Å, b = 9.7189 Å, c = 10.0860 Å
α = 105.28°, β = 90.00°, γ = 115.19°
Site moments in Bohr magnetons follow the coordinates.
Atoms (fractional coordinates):
Te 0.5041 0.0081 0.2378  -0.02
Te 0.6014 0.7057 0.4364  0.00
Te 0.1043 0.7057 0.4364  0.00
Pm 0.0000 0.0000 0.5000  0.00
Te 0.4383 0.3533 0.0951  -0.01
Pa 0.7320 0.0000 0.0000  0.52
Pm 0.3159 0.6318 0.1756  0.00
Te 0.3986 0.2943 0.5636  0.00
Te 0.4959 0.9919 0.7622  -0.02
Te 0.0850 0.6467 0.9049  -0.01
Te 0.9150 0.3533 0.0951  -0.01
Pa 0.2680 0.0000 0.0000  0.52
Pm 0.7070 0.4139 0.3635  0.00
Te 0.5617 0.6467 0.9049  -0.01
Te 0.0079 0.0158 0.8056  -0.02
Pm 0.2930 0.5861 0.6365  0.00
Pm 0.6841 0.3682 0.8244  0.00
Te 0.8957 0.2943 0.5636  0.00
Te 0.9921 0.9842 0.1944  -0.02

Summary:
formation energy without anion corrections	-21.95	eV/f.u.
total moment	0.06	μB per atom
symmetry	C2/m, No. 12

Q: Which value of total moment does entry 4 give?
A: 0.06 μB per atom

Q: What is the formula in the second record?
A: TmMnSi2